Entry from Alexandria: crystalline Tm2PdAu2 at its relaxed geometry (GGA-PBE).

a b c (Å): 3.9075 15.4821 3.5624
angles (deg): 90.00 90.00 90.00
Last column: nearest neighbours and their distance in Å.
Element x y z (fractional)
Tm (0.0023, 0.1086, 0.0000)  4 Au 2.91, 4 Pd 3.13-3.14
Tm (0.4977, 0.6086, 0.0000)  4 Au 2.91, 4 Pd 3.13-3.14
Tm (0.5023, 0.3914, 0.0000)  4 Au 2.91, 4 Pd 3.13-3.14
Tm (0.9977, 0.8914, 0.0000)  4 Au 2.91, 4 Pd 3.13-3.14
Pd (0.0000, 0.5000, 0.5000)  2 Au 2.89, 8 Tm 3.13-3.14
Pd (0.5000, 0.0000, 0.5000)  2 Au 2.89, 8 Tm 3.13-3.14
Au (0.0023, 0.3136, 0.5000)  2 Au 2.77, 1 Pd 2.89, 4 Tm 2.91
Au (0.4977, 0.8136, 0.5000)  2 Au 2.77, 1 Pd 2.89, 4 Tm 2.91
Au (0.5023, 0.1864, 0.5000)  2 Au 2.77, 1 Pd 2.89, 4 Tm 2.91
Au (0.9977, 0.6864, 0.5000)  2 Au 2.77, 1 Pd 2.89, 4 Tm 2.91

Output
As for the theoretical density: 12.92 g/cm3. The calculation puts the calculated formation energy at -0.829 eV/atom. As for the space group: Pbam. Its relative energy among the computed polymorphs is 0.000 eV per formula unit. The calculation puts the volume at 21.6 Å³ per atom.

=====

Entry from Alexandria: crystalline UTiS6 at its relaxed geometry (GGA-PBE).

a b c (Å): 6.9196 6.9196 6.9196
angles (deg): 60.05 60.05 60.05
Last column: nearest neighbours and their distance in Å.
Element x y z (fractional)
U (0.0000, 0.0000, 0.0000)  6 S 2.51
Ti (0.5000, 0.5000, 0.5000)  6 S 2.38
S (0.2566, 0.2566, 0.7432)  1 Ti 2.38, 1 U 2.51
S (0.2566, 0.7432, 0.2566)  1 Ti 2.38, 1 U 2.51
S (0.2568, 0.7434, 0.7434)  1 Ti 2.38, 1 U 2.51
S (0.7432, 0.2566, 0.2566)  1 Ti 2.38, 1 U 2.51
S (0.7434, 0.2568, 0.7434)  1 Ti 2.38, 1 U 2.51
S (0.7434, 0.7434, 0.2568)  1 Ti 2.38, 1 U 2.51

Output
As for the theoretical density: 3.39 g/cm3. As for the space group: R-3m. The calculation puts the volume at 29.3 Å³ per atom. For the uncorrected formation energy, the calculation gives -65.1 kJ per mole of atoms.

=====

Entry from Alexandria: crystalline MnZn2Sn2Pd5 at its relaxed geometry (GGA-PBE).

a b c (Å): 10.1517 10.1517 3.3213
angles (deg): 90.00 90.00 90.00
Last column: nearest neighbours and their distance in Å.
Element x y z (fractional)
Mn (0.0000, 0.0000, 0.0000)  8 Pd 2.68
Mn (0.5000, 0.5000, 0.0000)  8 Pd 2.68
Zn (0.1435, 0.3565, 0.0000)  6 Pd 2.63-2.65, 1 Sn 2.70
Zn (0.3565, 0.8565, 0.0000)  6 Pd 2.63-2.65, 1 Sn 2.70
Zn (0.6435, 0.1435, 0.0000)  6 Pd 2.63-2.65, 1 Sn 2.70
Zn (0.8565, 0.6435, 0.0000)  6 Pd 2.63-2.65, 1 Sn 2.70
Sn (0.1681, 0.6681, 0.0000)  1 Zn 2.70, 6 Pd 2.76-2.93
Sn (0.3319, 0.1681, 0.0000)  1 Zn 2.70, 6 Pd 2.76-2.93
Sn (0.6681, 0.8319, 0.0000)  1 Zn 2.70, 6 Pd 2.76-2.93
Sn (0.8319, 0.3319, 0.0000)  1 Zn 2.70, 6 Pd 2.76-2.93
Pd (0.0000, 0.5000, 0.5000)  4 Zn 2.65, 4 Sn 2.93
Pd (0.0097, 0.2069, 0.5000)  2 Zn 2.63, 2 Mn 2.68, 2 Sn 2.76
Pd (0.2069, 0.9903, 0.5000)  2 Zn 2.63, 2 Mn 2.68, 2 Sn 2.76
Pd (0.2931, 0.4903, 0.5000)  2 Zn 2.63, 2 Mn 2.68, 2 Sn 2.76
Pd (0.4903, 0.7069, 0.5000)  2 Zn 2.63, 2 Mn 2.68, 2 Sn 2.76
Pd (0.5000, 0.0000, 0.5000)  4 Zn 2.65, 4 Sn 2.93
Pd (0.5097, 0.2931, 0.5000)  2 Zn 2.63, 2 Mn 2.68, 2 Sn 2.76
Pd (0.7069, 0.5097, 0.5000)  2 Zn 2.63, 2 Mn 2.68, 2 Sn 2.76
Pd (0.7931, 0.0097, 0.5000)  2 Zn 2.63, 2 Mn 2.68, 2 Sn 2.76
Pd (0.9903, 0.7931, 0.5000)  2 Zn 2.63, 2 Mn 2.68, 2 Sn 2.76

Output
As for the theoretical density: 9.27 g/cm3. The calculation puts the calculated formation energy at -0.311 eV/atom. As for the space group: P4/mbm. The calculation puts the volume at 17.1 Å³ per atom.

=====

Entry from Alexandria: crystalline ZnGeOs2Cl at its relaxed geometry (GGA-PBE).

a b c (Å): 4.6778 4.6778 4.7515
angles (deg): 90.00 90.00 90.00
Last column: nearest neighbours and their distance in Å.
Element x y z (fractional)
Zn (0.0000, 0.0000, 0.0000)  2 Ge 2.38
Ge (0.0000, 0.0000, 0.5000)  4 Os 2.34, 2 Zn 2.38
Os (0.0000, 0.5000, 0.5000)  2 Ge 2.34
Os (0.5000, 0.0000, 0.5000)  2 Ge 2.34
Cl (0.5000, 0.5000, 0.0000)  4 Zn 3.31, 8 Os 3.33

Output
As for the theoretical density: 8.85 g/cm3. As for the space group: P4/mmm. The calculation puts the volume at 20.8 Å³ per atom. For the uncorrected formation energy, the calculation gives 155.7 kJ per mole of atoms.

=====

Entry from Alexandria: crystalline ErPuTl at its relaxed geometry (GGA-PBE).

a b c (Å): 5.6662 5.6662 5.9919
angles (deg): 90.00 90.00 120.00
Last column: nearest neighbours and their distance in Å.
Element x y z (fractional)
Er (0.3333, 0.6667, 0.2500)  5 Tl 3.00-3.27, 3 Pu 3.27
Er (0.6667, 0.3333, 0.7500)  5 Tl 3.00-3.27, 3 Pu 3.27
Pu (0.0000, 0.0000, 0.2500)  2 Pu 3.00, 3 Tl 3.27, 3 Er 3.27
Pu (0.0000, 0.0000, 0.7500)  2 Pu 3.00, 3 Tl 3.27, 3 Er 3.27
Tl (0.3333, 0.6667, 0.7500)  5 Er 3.00-3.27, 3 Pu 3.27
Tl (0.6667, 0.3333, 0.2500)  5 Er 3.00-3.27, 3 Pu 3.27

Output
As for the theoretical density: 12.27 g/cm3. The calculation puts the calculated formation energy at 0.097 eV/atom. As for the space group: P6_3/mmc. Its relative energy among the computed polymorphs is 0.357 eV per formula unit. The calculation puts the volume at 27.8 Å³ per atom.

=====

Entry from Alexandria: crystalline Ni3Se4Cl2 at its relaxed geometry (GGA-PBE).

a b c (Å): 3.5132 3.5132 17.2586
angles (deg): 90.00 90.00 120.00
Last column: nearest neighbours and their distance in Å.
Element x y z (fractional)
Ni (0.0000, 0.0000, 0.0000)  6 Cl 2.51
Ni (0.3333, 0.6667, 0.3346)  6 Se 2.40-2.42
Ni (0.3333, 0.6667, 0.6654)  6 Se 2.40-2.42
Se (0.0000, 0.0000, 0.2607)  3 Ni 2.40, 1 Se 2.59
Se (0.0000, 0.0000, 0.4105)  3 Ni 2.42, 1 Se 2.59
Se (0.0000, 0.0000, 0.5895)  3 Ni 2.42, 1 Se 2.59
Se (0.0000, 0.0000, 0.7393)  3 Ni 2.40, 1 Se 2.59
Cl (0.3333, 0.6667, 0.0858)  3 Ni 2.51
Cl (0.3333, 0.6667, 0.9142)  3 Ni 2.51

Output
As for the theoretical density: 5.07 g/cm3. As for the space group: P-6m2. The calculation puts the volume at 20.5 Å³ per atom. For the uncorrected formation energy, the calculation gives -17.3 kJ per mole of atoms.

=====

Entry from Alexandria: crystalline YAgO2F at its relaxed geometry (GGA-PBE).

a b c (Å): 4.1836 4.1836 4.1595
angles (deg): 90.00 90.00 90.00
Last column: nearest neighbours and their distance in Å.
Element x y z (fractional)
Y (0.0000, 0.0000, 0.0000)  8 O 2.95, 4 F 2.96
Ag (0.5000, 0.5000, 0.5000)  2 F 2.08, 4 O 2.09
O (0.0000, 0.5000, 0.5000)  2 Ag 2.09
O (0.5000, 0.0000, 0.5000)  2 Ag 2.09
F (0.5000, 0.5000, 0.0000)  2 Ag 2.08

Output
As for the theoretical density: 5.65 g/cm3. As for the space group: P4/mmm. The calculation puts the volume at 14.6 Å³ per atom. For the uncorrected formation energy, the calculation gives -124.9 kJ per mole of atoms.

=====

Entry from Alexandria: crystalline DyLuMnAl at its relaxed geometry (GGA-PBE).

a b c (Å): 7.1008 7.1008 7.1008
angles (deg): 90.00 90.00 90.00
Last column: nearest neighbours and their distance in Å.
Element x y z (fractional)
Dy (0.0000, 0.0000, 0.0000)  4 Mn 3.07, 4 Al 3.07
Dy (0.0000, 0.5000, 0.5000)  4 Mn 3.07, 4 Al 3.07
Dy (0.5000, 0.0000, 0.5000)  4 Mn 3.07, 4 Al 3.07
Dy (0.5000, 0.5000, 0.0000)  4 Mn 3.07, 4 Al 3.07
Lu (0.0000, 0.0000, 0.5000)  4 Mn 3.07, 4 Al 3.07
Lu (0.0000, 0.5000, 0.0000)  4 Mn 3.07, 4 Al 3.07
Lu (0.5000, 0.0000, 0.0000)  4 Mn 3.07, 4 Al 3.07
Lu (0.5000, 0.5000, 0.5000)  4 Mn 3.07, 4 Al 3.07
Mn (0.2500, 0.2500, 0.7500)  4 Dy 3.07, 4 Lu 3.07
Mn (0.2500, 0.7500, 0.2500)  4 Dy 3.07, 4 Lu 3.07
Mn (0.7500, 0.2500, 0.2500)  4 Dy 3.07, 4 Lu 3.07
Mn (0.7500, 0.7500, 0.7500)  4 Dy 3.07, 4 Lu 3.07
Al (0.2500, 0.2500, 0.2500)  4 Dy 3.07, 4 Lu 3.07
Al (0.2500, 0.7500, 0.7500)  4 Dy 3.07, 4 Lu 3.07
Al (0.7500, 0.2500, 0.7500)  4 Dy 3.07, 4 Lu 3.07
Al (0.7500, 0.7500, 0.2500)  4 Dy 3.07, 4 Lu 3.07

Output
As for the theoretical density: 7.78 g/cm3. The calculation puts the calculated formation energy at -0.087 eV/atom. As for the space group: F-43m. The calculation puts the volume at 22.4 Å³ per atom.

=====

Entry from Alexandria: crystalline ErSc2AgHg4 at its relaxed geometry (GGA-PBE).

a b c (Å): 8.7964 8.7964 8.7964
angles (deg): 32.79 32.79 32.79
Last column: nearest neighbours and their distance in Å.
Element x y z (fractional)
Er (0.0000, 0.0000, 0.0000)  8 Hg 3.06-3.10
Sc (0.2433, 0.2433, 0.2433)  8 Hg 2.97-3.31
Sc (0.7567, 0.7567, 0.7567)  8 Hg 2.97-3.31
Ag (0.5000, 0.5000, 0.5000)  8 Hg 3.06-3.09
Hg (0.1241, 0.1241, 0.1241)  4 Sc 2.97-2.99, 3 Ag 3.06, 1 Er 3.10
Hg (0.3761, 0.3761, 0.3761)  3 Er 3.06, 1 Ag 3.09, 4 Sc 3.10-3.31
Hg (0.6239, 0.6239, 0.6239)  3 Er 3.06, 1 Ag 3.09, 4 Sc 3.10-3.31
Hg (0.8759, 0.8759, 0.8759)  4 Sc 2.97-2.99, 3 Ag 3.06, 1 Er 3.10

Output
As for the theoretical density: 10.91 g/cm3. The calculation puts the calculated formation energy at -0.329 eV/atom. As for the space group: R-3m. The calculation puts the volume at 22.2 Å³ per atom.

=====

Entry from Alexandria: crystalline TcRh2Br at its relaxed geometry (GGA-PBE).

a b c (Å): 2.8658 2.8658 26.8522
angles (deg): 90.00 90.00 120.00
Last column: nearest neighbours and their distance in Å.
Element x y z (fractional)
Tc (0.0000, 0.0000, 0.0000)  6 Rh 2.66, 6 Tc 2.87
Tc (0.3333, 0.6667, 0.6667)  6 Rh 2.66, 6 Tc 2.87
Tc (0.6667, 0.3333, 0.3333)  6 Rh 2.66, 6 Tc 2.87
Rh (0.0000, 0.0000, 0.2557)  3 Tc 2.66, 6 Rh 2.87, 3 Br 2.91
Rh (0.0000, 0.0000, 0.7443)  3 Tc 2.66, 6 Rh 2.87, 3 Br 2.91
Rh (0.3333, 0.6667, 0.4110)  3 Tc 2.66, 6 Rh 2.87, 3 Br 2.91
Rh (0.3333, 0.6667, 0.9224)  3 Tc 2.66, 6 Rh 2.87, 3 Br 2.91
Rh (0.6667, 0.3333, 0.0776)  3 Tc 2.66, 6 Rh 2.87, 3 Br 2.91
Rh (0.6667, 0.3333, 0.5890)  3 Tc 2.66, 6 Rh 2.87, 3 Br 2.91
Br (0.0000, 0.0000, 0.5000)  6 Br 2.87, 6 Rh 2.91
Br (0.3333, 0.6667, 0.1667)  6 Br 2.87, 6 Rh 2.91
Br (0.6667, 0.3333, 0.8333)  6 Br 2.87, 6 Rh 2.91

Output
As for the theoretical density: 10.01 g/cm3. As for the space group: R-3m. Its relative energy among the computed polymorphs is 0.050 eV per formula unit. The calculation puts the volume at 15.9 Å³ per atom. For the uncorrected formation energy, the calculation gives 33.9 kJ per mole of atoms.

=====

Entry from Alexandria: crystalline Nd3Zn2Cu3 at its relaxed geometry (GGA-PBE).

a b c (Å): 7.9191 15.3232 5.6682
angles (deg): 90.00 90.00 90.00
Last column: nearest neighbours and their distance in Å.
Element x y z (fractional)
Nd (0.0447, 0.1038, 0.1449)  5 Cu 2.97-3.18, 3 Zn 3.06-3.15
Nd (0.0447, 0.3962, 0.1449)  5 Cu 2.97-3.18, 3 Zn 3.06-3.15
Nd (0.1783, 0.2500, 0.6181)  5 Cu 2.98-3.27, 4 Zn 3.13-3.24
Nd (0.3217, 0.7500, 0.1181)  5 Cu 2.98-3.27, 4 Zn 3.13-3.24
Nd (0.4553, 0.6038, 0.6449)  5 Cu 2.97-3.18, 3 Zn 3.06-3.15
Nd (0.4553, 0.8962, 0.6449)  5 Cu 2.97-3.18, 3 Zn 3.06-3.15
Nd (0.5447, 0.1038, 0.3551)  5 Cu 2.97-3.18, 3 Zn 3.06-3.15
Nd (0.5447, 0.3962, 0.3551)  5 Cu 2.97-3.18, 3 Zn 3.06-3.15
Nd (0.6783, 0.2500, 0.8819)  5 Cu 2.98-3.27, 4 Zn 3.13-3.24
Nd (0.8217, 0.7500, 0.3819)  5 Cu 2.98-3.27, 4 Zn 3.13-3.24
Nd (0.9553, 0.6038, 0.8551)  5 Cu 2.97-3.18, 3 Zn 3.06-3.15
Nd (0.9553, 0.8962, 0.8551)  5 Cu 2.97-3.18, 3 Zn 3.06-3.15
Zn (0.1128, 0.6018, 0.3627)  4 Cu 2.45-2.69
Zn (0.1128, 0.8982, 0.3627)  4 Cu 2.45-2.69
Zn (0.3872, 0.1018, 0.8627)  4 Cu 2.45-2.69
Zn (0.3872, 0.3982, 0.8627)  4 Cu 2.45-2.69
Zn (0.6128, 0.6018, 0.1373)  4 Cu 2.45-2.69
Zn (0.6128, 0.8982, 0.1373)  4 Cu 2.45-2.69
Zn (0.8872, 0.1018, 0.6373)  4 Cu 2.45-2.69
Zn (0.8872, 0.3982, 0.6373)  4 Cu 2.45-2.69
Cu (0.1760, 0.7500, 0.6025)  2 Zn 2.69, 1 Nd 2.98
Cu (0.1780, 0.0365, 0.5989)  3 Zn 2.45-2.56
Cu (0.1780, 0.4635, 0.5989)  3 Zn 2.45-2.56
Cu (0.3220, 0.5365, 0.0989)  3 Zn 2.45-2.56
Cu (0.3220, 0.9635, 0.0989)  3 Zn 2.45-2.56
Cu (0.3240, 0.2500, 0.1025)  2 Zn 2.69, 1 Nd 2.98
Cu (0.6760, 0.7500, 0.8975)  2 Zn 2.69, 1 Nd 2.98
Cu (0.6780, 0.0365, 0.9011)  3 Zn 2.45-2.56
Cu (0.6780, 0.4635, 0.9011)  3 Zn 2.45-2.56
Cu (0.8220, 0.5365, 0.4011)  3 Zn 2.45-2.56
Cu (0.8220, 0.9635, 0.4011)  3 Zn 2.45-2.56
Cu (0.8240, 0.2500, 0.3975)  2 Zn 2.69, 1 Nd 2.98

Output
As for the theoretical density: 7.28 g/cm3. The calculation puts the calculated formation energy at -0.222 eV/atom. As for the space group: Pnma. The calculation puts the volume at 21.5 Å³ per atom.

=====

Entry from Alexandria: crystalline Li2SmPtO4 at its relaxed geometry (GGA-PBE).

a b c (Å): 5.5136 5.6894 6.3348
angles (deg): 90.00 90.00 90.00
Last column: nearest neighbours and their distance in Å.
Element x y z (fractional)
Li (0.0000, 0.0000, 0.2504)  4 O 2.06-2.18
Li (0.0000, 0.0000, 0.7496)  4 O 2.06-2.18
Li (0.5000, 0.5000, 0.2496)  4 O 2.06-2.18
Li (0.5000, 0.5000, 0.7504)  4 O 2.06-2.18
Sm (0.0000, 0.5000, 0.0000)  4 O 2.26
Sm (0.5000, 0.0000, 0.5000)  4 O 2.26
Pt (0.0000, 0.5000, 0.5000)  4 O 2.04
Pt (0.5000, 0.0000, 0.0000)  4 O 2.04
O (0.2266, 0.2571, 0.6314)  1 Pt 2.04, 2 Li 2.06-2.18, 1 Sm 2.26
O (0.2266, 0.7429, 0.3686)  1 Pt 2.04, 2 Li 2.06-2.18, 1 Sm 2.26
O (0.2734, 0.2429, 0.1314)  1 Pt 2.04, 2 Li 2.06-2.18, 1 Sm 2.26
O (0.2734, 0.7571, 0.8686)  1 Pt 2.04, 2 Li 2.06-2.18, 1 Sm 2.26
O (0.7266, 0.2429, 0.8686)  1 Pt 2.04, 2 Li 2.06-2.18, 1 Sm 2.26
O (0.7266, 0.7571, 0.1314)  1 Pt 2.04, 2 Li 2.06-2.18, 1 Sm 2.26
O (0.7734, 0.2571, 0.3686)  1 Pt 2.04, 2 Li 2.06-2.18, 1 Sm 2.26
O (0.7734, 0.7429, 0.6314)  1 Pt 2.04, 2 Li 2.06-2.18, 1 Sm 2.26

Output
As for the theoretical density: 7.07 g/cm3. As for the space group: I222. The calculation puts the volume at 12.4 Å³ per atom. For the uncorrected formation energy, the calculation gives -157.1 kJ per mole of atoms.